P3Rh: optimized geometry, GGA-PBE.

a b c (Å): 6.0755 6.0755 6.0755
angles (deg): 154.36 55.64 131.51
Fractional positions:
P: 0.0000 0.0000 0.0000
P: 0.5350 0.6755 0.8595
P: 0.8160 0.6755 0.1405
Rh: 0.3844 0.8844 0.5000

Values from the calculation:
density of states at the Fermi level: 0.42 states/eV/atom
relative energy among the computed polymorphs: 557.3 meV/atom